Version A
Th2TcGe: relaxed, PBE.

Cell lengths 4.005, 4.817, 4.817 Å; angles 90.00, 90.00, 90.00 degrees
Atoms (fractional coordinates):
Ge 0.500 0.000 0.000
Tc 0.500 0.500 0.500
Th 0.000 0.000 0.500
Th 0.000 0.500 0.000

Output
Magnetic moment ... 0.00 μB per cell
Symmetry ... No. 123

Version B
Th2TcGe: relaxed, PBE.

Cell lengths 4.087, 6.056, 8.546 Å; angles 111.20, 90.00, 90.00 degrees
Atoms (fractional coordinates):
Th 0.750 0.223 0.448
Th 0.250 0.777 0.552
Th 0.250 0.780 0.093
Th 0.750 0.220 0.907
Tc 0.750 0.667 0.290
Tc 0.250 0.333 0.710
Ge 0.250 0.343 0.206
Ge 0.750 0.657 0.794

Output
Magnetic moment ... 0.00 μB per cell
Symmetry ... No. 11

Which one is most stable, and which one is least stable? version B is the most stable of them, while version A is the least stable.

Version A
Ti3TcGe: relaxed, PBE.

Cell lengths 4.684, 4.684, 4.684 Å; angles 90.00, 90.00, 90.00 degrees
Atoms (fractional coordinates):
Ge 0.500 0.500 0.500
Tc 0.000 0.000 0.000
Ti 0.000 0.500 0.000
Ti 0.000 0.000 0.500
Ti 0.500 0.000 0.000

Output
Magnetic moment ... 1.76 μB per cell
Symmetry ... No. 221

Version B
Ti3TcGe: relaxed, PBE.

Cell lengths 4.606, 4.606, 4.606 Å; angles 90.00, 90.00, 90.00 degrees
Atoms (fractional coordinates):
Ge 0.000 0.000 0.000
Tc 0.500 0.500 0.500
Ti 0.000 0.500 0.000
Ti 0.000 0.000 0.500
Ti 0.500 0.000 0.000

Output
Magnetic moment ... 0.00 μB per cell
Symmetry ... No. 221

Which one is most stable, and which one is least stable? version A is the most stable of them, while version B is the least stable.

Version A
TlTc2Ge2: relaxed, PBE.

Cell lengths 7.268, 7.268, 3.183 Å; angles 90.00, 90.00, 90.00 degrees
Atoms (fractional coordinates):
Tl 0.000 0.000 0.000
Tl 0.500 0.500 0.000
Ge 0.145 0.645 0.500
Ge 0.645 0.855 0.500
Ge 0.855 0.355 0.500
Ge 0.355 0.145 0.500
Tc 0.353 0.853 0.000
Tc 0.853 0.647 0.000
Tc 0.647 0.147 0.000
Tc 0.147 0.353 0.000

Output
Magnetic moment ... 0.00 μB per cell
Symmetry ... No. 127

Version B
TlTc2Ge2: relaxed, PBE.

Cell lengths 7.585, 7.585, 2.961 Å; angles 90.00, 90.00, 90.00 degrees
Atoms (fractional coordinates):
Tl 0.000 0.000 0.000
Tl 0.500 0.500 0.000
Ge 0.363 0.863 0.000
Ge 0.863 0.637 0.000
Ge 0.637 0.137 0.000
Ge 0.137 0.363 0.000
Tc 0.152 0.652 0.500
Tc 0.652 0.848 0.500
Tc 0.848 0.348 0.500
Tc 0.348 0.152 0.500

Output
Magnetic moment ... 0.00 μB per cell
Symmetry ... No. 127

Version C
TlTc2Ge2: relaxed, PBE.

Cell lengths 3.648, 3.648, 6.999 Å; angles 74.89, 74.89, 90.00 degrees
Atoms (fractional coordinates):
Tl 0.000 0.000 0.000
Ge 0.750 0.250 0.500
Ge 0.250 0.750 0.500
Tc 0.389 0.389 0.221
Tc 0.611 0.611 0.779

Output
Magnetic moment ... 0.00 μB per cell
Symmetry ... No. 139

Which one is most stable, and which one is least stable? version A is the most stable of them, while version B is the least stable.

Version A
TlTc3Ge: relaxed, PBE.

Cell lengths 4.613, 4.613, 4.613 Å; angles 90.00, 90.00, 90.00 degrees
Atoms (fractional coordinates):
Tl 0.500 0.500 0.500
Ge 0.000 0.000 0.000
Tc 0.000 0.500 0.000
Tc 0.000 0.000 0.500
Tc 0.500 0.000 0.000

Output
Magnetic moment ... 3.18 μB per cell
Symmetry ... No. 221

Version B
TlTc3Ge: relaxed, PBE.

Cell lengths 5.132, 5.132, 5.132 Å; angles 90.00, 90.00, 90.00 degrees
Atoms (fractional coordinates):
Tl 0.000 0.000 0.000
Ge 0.500 0.500 0.500
Tc 0.000 0.500 0.000
Tc 0.000 0.000 0.500
Tc 0.500 0.000 0.000

Output
Magnetic moment ... 8.95 μB per cell
Symmetry ... No. 221

Which one is most stable, and which one is least stable? version A is the most stable of them, while version B is the least stable.